# NaNpInI6

NaNpInI6 after structural relaxation (PBE, Alexandria via LeMat-Bulk).

Values from the calculation:
Formation energy (no corrections)   -816 meV/atom

a b c (Å): 8.0328 8.0328 14.7524
angles (deg): 90.00 90.00 120.00
Space group P-31c (No. 163)
Inequivalent atoms, fractional coordinates:
1 Na 0.3333 0.6667 0.2500 (multiplicity 2)
2 Np 0.3333 0.6667 0.7500 (multiplicity 2)
3 In 0.0000 0.0000 0.0000 (multiplicity 2)
4 I 0.0213 0.3664 0.6313 (multiplicity 12)



# Er3CdRh

Er3CdRh after structural relaxation (PBE, Alexandria via LeMat-Bulk).

Values from the calculation:
Energy of formation from the pure elements   -2.299 eV per formula unit
Energy relative to the lowest polymorph listed for this composition   27 kJ/mol of formula units

a b c (Å): 15.458 4.059 10.159
angles (deg): 90.00 124.28 90.00
Space group C2/m (No. 12)
Inequivalent atoms, fractional coordinates:
1 Er 0.090 0.000 0.449 (multiplicity 4)
2 Er 0.139 0.500 0.215 (multiplicity 4)
3 Er 0.168 0.500 0.799 (multiplicity 4)
4 Cd 0.073 0.000 0.929 (multiplicity 4)
5 Rh 0.231 0.500 0.588 (multiplicity 4)



# Tb2Zn15Tc2

Tb2Zn15Tc2 after structural relaxation (PBE, Alexandria via LeMat-Bulk).

Values from the calculation:
Energy of formation from the pure elements   -3.427 eV per formula unit

a b c (Å): 9.0071 9.0071 12.9920
angles (deg): 90.00 90.00 120.00
Space group R-3m (No. 166, hexagonal axes)
Inequivalent atoms, fractional coordinates:
1 Tb 0.0000 0.0000 0.1607 (multiplicity 6)
2 Zn 0.0000 0.2915 0.5000 (multiplicity 18)
3 Zn 0.0000 0.5000 0.0000 (multiplicity 9)
4 Zn 0.0005 0.5002 0.3486 (multiplicity 18)
5 Tc 0.0000 0.0000 0.4082 (multiplicity 6)



# LaMgCu

LaMgCu after structural relaxation (PBE, Alexandria via LeMat-Bulk).

Values from the calculation:
Energy of formation from the pure elements   -0.541 eV per formula unit

a b c (Å): 13.686 4.091 7.785
angles (deg): 90.00 90.00 90.00
Space group Pmma (No. 51)
Inequivalent atoms, fractional coordinates:
1 La 0.042 0.000 0.236 (multiplicity 4)
2 La 0.250 0.000 0.862 (multiplicity 2)
3 Mg 0.130 0.500 0.567 (multiplicity 4)
4 Mg 0.250 0.500 0.213 (multiplicity 2)
5 Cu 0.092 0.500 0.949 (multiplicity 4)
6 Cu 0.250 0.000 0.448 (multiplicity 2)



Across the entries above, N(E_F) takes the values 7.89; 19.44; 30.36; 16.74 states/eV per cell, respectively.
Across the entries above, V takes the values 412.2; 131.7; 304.3; 72.7 Å³/f.u., respectively.